# 1
! MgCo2, relaxed, DFT PBEsol; values from VASP
! Formation energy from the elements   46 kJ/mol of formula units
! Spin magnetization   2.8 μB/f.u.
&SYSTEM
  ibrav = 0, nat = 6, ntyp = 2
/
ATOMIC_SPECIES
Co 58.93 Co.upf
Mg 24.30 Mg.upf
ATOMIC_POSITIONS crystal
Co 0.534 0.068 0.733
Co 0.852 0.703 0.470
Co 0.148 0.297 0.530
Co 0.466 0.932 0.267
Mg 0.160 0.321 0.120
Mg 0.840 0.679 0.880
CELL_PARAMETERS angstrom
-1.427 -0.790 2.106
4.657 -0.179 1.404
-2.280 6.100 0.743

---

# 2
! Mg3Co2, relaxed, DFT PBEsol; values from VASP
! Formation energy from the elements   159 kJ/mol of formula units
! Spin magnetization   2.4 μB/f.u.
&SYSTEM
  ibrav = 0, nat = 5, ntyp = 2
/
ATOMIC_SPECIES
Co 58.93 Co.upf
Mg 24.30 Mg.upf
ATOMIC_POSITIONS crystal
Co 0.603 0.603 0.190
Co 0.397 0.397 0.810
Mg 0.000 0.000 0.000
Mg 0.208 0.208 0.376
Mg 0.792 0.792 0.624
CELL_PARAMETERS angstrom
2.847 0.000 0.000
1.423 2.465 0.000
1.423 0.822 10.975

---

# 3
! MgCo2, relaxed, DFT PBEsol; values from VASP
! Formation energy from the elements   -1 kJ/mol of formula units
! Spin magnetization   2.5 μB/f.u.
&SYSTEM
  ibrav = 0, nat = 12, ntyp = 2
/
ATOMIC_SPECIES
Mg 24.30 Mg.upf
Co 58.93 Co.upf
ATOMIC_POSITIONS crystal
Mg 0.333 0.667 0.436
Mg 0.333 0.667 0.064
Mg 0.667 0.333 0.936
Mg 0.667 0.333 0.564
Co 0.000 0.000 0.500
Co 0.829 0.659 0.250
Co 0.829 0.171 0.250
Co 0.341 0.171 0.250
Co 0.000 0.000 0.000
Co 0.659 0.829 0.750
Co 0.171 0.829 0.750
Co 0.171 0.341 0.750
CELL_PARAMETERS angstrom
4.750 0.000 0.000
-2.375 4.114 0.000
0.000 0.000 7.749

---

# 4
! MgCo, relaxed, DFT PBEsol; values from VASP
! Formation energy from the elements   0 kJ/mol of formula units
! Spin magnetization   0.0 μB/f.u.
&SYSTEM
  ibrav = 0, nat = 24, ntyp = 2
/
ATOMIC_SPECIES
Co 58.93 Co.upf
Mg 24.30 Mg.upf
ATOMIC_POSITIONS crystal
Co 0.125 0.625 0.625
Co 0.625 0.625 0.625
Co 0.625 0.125 0.625
Co 0.625 0.625 0.125
Co 0.526 0.825 0.825
Co 0.825 0.825 0.825
Co 0.825 0.526 0.825
Co 0.825 0.825 0.526
Co 0.425 0.425 0.425
Co 0.724 0.425 0.425
Co 0.425 0.724 0.425
Co 0.425 0.425 0.724
Mg 0.454 0.046 0.454
Mg 0.046 0.454 0.046
Mg 0.454 0.454 0.046
Mg 0.046 0.046 0.454
Mg 0.454 0.046 0.046
Mg 0.046 0.454 0.454
Mg 0.204 0.204 0.796
Mg 0.796 0.796 0.204
Mg 0.204 0.796 0.204
Mg 0.796 0.204 0.796
Mg 0.796 0.204 0.204
Mg 0.204 0.796 0.796
CELL_PARAMETERS angstrom
-5.919 -0.313 5.205
-7.404 -1.060 -2.506
-3.688 -6.837 1.373

---

# 5
! MgCo, relaxed, DFT PBEsol; values from VASP
! Formation energy from the elements   19 kJ/mol of formula units
! Spin magnetization   1.5 μB/f.u.
&SYSTEM
  ibrav = 0, nat = 4, ntyp = 2
/
ATOMIC_SPECIES
Mg 24.30 Mg.upf
Co 58.93 Co.upf
ATOMIC_POSITIONS crystal
Mg 0.500 0.000 0.676
Mg 0.000 0.500 0.324
Co 0.500 0.000 0.081
Co 0.000 0.500 0.919
CELL_PARAMETERS angstrom
-2.763 -0.708 -0.465
0.497 -2.638 1.069
-1.694 2.326 6.529

---

# 6
! MgCo, relaxed, DFT PBEsol; values from VASP
! Formation energy from the elements   39 kJ/mol of formula units
! Spin magnetization   1.2 μB/f.u.
&SYSTEM
  ibrav = 0, nat = 8, ntyp = 2
/
ATOMIC_SPECIES
Co 58.93 Co.upf
Mg 24.30 Mg.upf
ATOMIC_POSITIONS crystal
Co 0.000 0.000 0.750
Co 0.000 0.000 0.250
Co 0.667 0.333 0.250
Co 0.333 0.667 0.750
Mg 0.667 0.333 0.907
Mg 0.333 0.667 0.407
Mg 0.333 0.667 0.093
Mg 0.667 0.333 0.593
CELL_PARAMETERS angstrom
-3.523 1.148 -1.409
0.435 -0.765 3.865
2.242 8.679 1.465

---

# 7
! Mg14MnCoO16, relaxed, DFT PBEsol; values from VASP
! Uncorrected formation energy   -80.09 eV/f.u.
! Spin magnetization   7.5 μB/f.u.
&SYSTEM
  ibrav = 0, nat = 32, ntyp = 4
/
ATOMIC_SPECIES
Mg 24.30 Mg.upf
Mn 54.94 Mn.upf
Co 58.93 Co.upf
O 16.00 O.upf
ATOMIC_POSITIONS crystal
Mg 0.000 0.500 0.000
Mg 0.000 0.000 0.500
Mg 0.500 0.253 0.000
Mg 0.500 0.747 0.000
Mg 0.500 0.252 0.500
Mg 0.500 0.748 0.500
Mg 0.500 0.000 0.253
Mg 0.500 0.500 0.252
Mg 0.500 0.000 0.747
Mg 0.500 0.500 0.748
Mg 0.000 0.253 0.253
Mg 0.000 0.747 0.253
Mg 0.000 0.253 0.747
Mg 0.000 0.747 0.747
Mn 0.000 0.000 0.000
Co 0.000 0.500 0.500
O 0.000 0.000 0.252
O 0.000 0.500 0.245
O 0.000 0.000 0.748
O 0.000 0.500 0.755
O 0.500 0.250 0.250
O 0.500 0.750 0.250
O 0.500 0.250 0.750
O 0.500 0.750 0.750
O 0.500 0.000 0.000
O 0.500 0.500 0.000
O 0.500 0.000 0.500
O 0.500 0.500 0.500
O 0.000 0.252 0.000
O 0.000 0.748 0.000
O 0.000 0.245 0.500
O 0.000 0.755 0.500
CELL_PARAMETERS angstrom
-1.646 -3.547 1.536
5.405 0.317 6.524
-5.624 4.533 4.439

---

# 8
! MgCo4Mo, relaxed, DFT PBEsol; values from VASP
! Formation energy from the elements   26 kJ/mol of formula units
! Spin magnetization   0.0 μB/f.u.
&SYSTEM
  ibrav = 0, nat = 6, ntyp = 3
/
ATOMIC_SPECIES
Co 58.93 Co.upf
Mg 24.30 Mg.upf
Mo 95.94 Mo.upf
ATOMIC_POSITIONS crystal
Co 0.624 0.624 0.127
Co 0.127 0.624 0.624
Co 0.624 0.127 0.624
Co 0.624 0.624 0.624
Mg 0.250 0.250 0.250
Mo 0.000 0.000 0.000
CELL_PARAMETERS angstrom
-0.530 1.925 -4.183
-1.266 -2.615 -3.611
-4.238 0.458 -1.820

---

# 9
! Mg2CoN2, relaxed, DFT PBEsol; values from VASP
! Uncorrected formation energy   -2.49 eV/f.u.
! Spin magnetization   1.0 μB/f.u.
&SYSTEM
  ibrav = 0, nat = 10, ntyp = 3
/
ATOMIC_SPECIES
Mg 24.30 Mg.upf
Co 58.93 Co.upf
N 14.01 N.upf
ATOMIC_POSITIONS crystal
Mg 0.679 0.235 0.407
Mg 0.321 0.765 0.593
Mg 0.032 0.686 0.250
Mg 0.968 0.314 0.750
Co 0.373 0.131 0.123
Co 0.627 0.869 0.877
N 0.181 0.242 0.396
N 0.819 0.758 0.604
N 0.473 0.264 0.790
N 0.527 0.736 0.210
CELL_PARAMETERS angstrom
4.261 0.000 0.000
2.131 4.981 -0.005
2.131 1.966 5.393

---

# 10
! MgCoSe2N, relaxed, DFT PBEsol; values from VASP
! Uncorrected formation energy   -0.54 eV/f.u.
! Spin magnetization   0.0 μB/f.u.
&SYSTEM
  ibrav = 0, nat = 5, ntyp = 4
/
ATOMIC_SPECIES
Mg 24.30 Mg.upf
Co 58.93 Co.upf
Se 78.96 Se.upf
N 14.01 N.upf
ATOMIC_POSITIONS crystal
Mg 0.500 0.500 0.500
Co 0.000 0.000 0.000
Se 0.000 0.000 0.500
Se 0.000 0.500 0.000
N 0.500 0.000 0.000
CELL_PARAMETERS angstrom
-0.500 1.030 -3.153
-4.577 -1.829 0.128
-1.680 4.322 1.679

---

# 11
! NaMg2Co, relaxed, DFT PBEsol; values from VASP
! Formation energy from the elements   287 kJ/mol of formula units
! Spin magnetization   1.1 μB/f.u.
&SYSTEM
  ibrav = 0, nat = 8, ntyp = 3
/
ATOMIC_SPECIES
Na 22.99 Na.upf
Mg 24.30 Mg.upf
Co 58.93 Co.upf
ATOMIC_POSITIONS crystal
Na 0.750 0.250 0.500
Na 0.500 0.500 0.000
Mg 0.342 0.875 0.250
Mg 0.908 0.375 0.250
Mg 0.125 0.092 0.750
Mg 0.625 0.658 0.750
Co 0.250 0.750 0.500
Co 0.000 0.000 0.000
CELL_PARAMETERS angstrom
4.228 0.000 0.000
0.000 4.228 0.000
-2.114 -2.114 9.400

---

# 12
! MgNb2Co2, relaxed, DFT PBEsol; values from VASP
! Formation energy from the elements   -38 kJ/mol of formula units
! Spin magnetization   0.0 μB/f.u.
&SYSTEM
  ibrav = 0, nat = 10, ntyp = 3
/
ATOMIC_SPECIES
Nb 92.91 Nb.upf
Co 58.93 Co.upf
Mg 24.30 Mg.upf
ATOMIC_POSITIONS crystal
Nb 0.500 0.168 0.668
Nb 0.500 0.668 0.832
Nb 0.500 0.832 0.332
Nb 0.500 0.332 0.168
Co 0.000 0.372 0.872
Co 0.000 0.872 0.628
Co 0.000 0.628 0.128
Co 0.000 0.128 0.372
Mg 0.000 0.000 0.000
Mg 0.000 0.500 0.500
CELL_PARAMETERS angstrom
-1.209 0.629 -2.652
3.813 -5.125 -2.953
-5.181 -4.588 1.273

---

# 13
! MgCoNi, relaxed, DFT PBEsol; values from VASP
! Formation energy from the elements   -30 kJ/mol of formula units
! Spin magnetization   1.4 μB/f.u.
&SYSTEM
  ibrav = 0, nat = 12, ntyp = 3
/
ATOMIC_SPECIES
Mg 24.30 Mg.upf
Co 58.93 Co.upf
Ni 58.69 Ni.upf
ATOMIC_POSITIONS crystal
Mg 0.667 0.334 0.812
Mg 0.332 0.664 0.686
Mg 0.332 0.664 0.314
Mg 0.667 0.334 0.188
Co 0.995 0.989 0.754
Co 0.995 0.989 0.246
Co 0.179 0.842 0.000
Co 0.662 0.842 0.000
Ni 0.175 0.349 0.000
Ni 0.830 0.167 0.500
Ni 0.337 0.167 0.500
Ni 0.830 0.660 0.500
CELL_PARAMETERS angstrom
-0.130 1.806 -4.369
0.998 -4.648 0.609
-7.467 -1.665 -0.466

---

# 14
! MgCoNi, relaxed, DFT PBEsol; values from VASP
! Formation energy from the elements   69 kJ/mol of formula units
! Spin magnetization   1.6 μB/f.u.
&SYSTEM
  ibrav = 0, nat = 3, ntyp = 3
/
ATOMIC_SPECIES
Co 58.93 Co.upf
Mg 24.30 Mg.upf
Ni 58.69 Ni.upf
ATOMIC_POSITIONS crystal
Co 0.000 0.000 0.017
Mg 0.333 0.667 0.665
Ni 0.667 0.333 0.318
CELL_PARAMETERS angstrom
-0.661 -2.555 0.105
2.361 0.790 0.883
-2.388 0.849 5.628

---

# 15
! MgCoNi, relaxed, DFT PBEsol; values from VASP
! Formation energy from the elements   151 kJ/mol of formula units
! Spin magnetization   1.9 μB/f.u.
&SYSTEM
  ibrav = 0, nat = 3, ntyp = 3
/
ATOMIC_SPECIES
Co 58.93 Co.upf
Mg 24.30 Mg.upf
Ni 58.69 Ni.upf
ATOMIC_POSITIONS crystal
Co 0.250 0.250 0.250
Mg 0.000 0.000 0.000
Ni 0.500 0.500 0.500
CELL_PARAMETERS angstrom
3.950 0.000 0.000
1.975 3.421 0.000
1.975 1.140 3.225

---

# 16
! Mg14CoNiO16, relaxed, DFT PBEsol; values from VASP
! Uncorrected formation energy   -78.96 eV/f.u.
! Spin magnetization   0.9 μB/f.u.
&SYSTEM
  ibrav = 0, nat = 32, ntyp = 4
/
ATOMIC_SPECIES
Ni 58.69 Ni.upf
Mg 24.30 Mg.upf
Co 58.93 Co.upf
O 16.00 O.upf
ATOMIC_POSITIONS crystal
Ni 0.000 0.500 0.000
Mg 0.000 0.000 0.500
Mg 0.000 0.500 0.500
Mg 0.500 0.750 0.000
Mg 0.500 0.250 0.000
Mg 0.500 0.750 0.500
Mg 0.500 0.250 0.500
Mg 0.500 0.000 0.754
Mg 0.500 0.500 0.753
Mg 0.500 0.000 0.246
Mg 0.500 0.500 0.247
Mg 0.000 0.749 0.754
Mg 0.000 0.251 0.754
Mg 0.000 0.749 0.246
Mg 0.000 0.251 0.246
Co 0.000 0.000 0.000
O 0.000 0.000 0.757
O 0.000 0.500 0.750
O 0.000 0.000 0.243
O 0.000 0.500 0.250
O 0.500 0.750 0.751
O 0.500 0.250 0.751
O 0.500 0.750 0.249
O 0.500 0.250 0.249
O 0.500 0.000 0.000
O 0.500 0.500 0.000
O 0.500 0.000 0.500
O 0.500 0.500 0.500
O 0.000 0.760 0.000
O 0.000 0.240 0.000
O 0.000 0.752 0.500
O 0.000 0.248 0.500
CELL_PARAMETERS angstrom
-1.606 3.200 2.196
-6.405 -4.890 2.439
4.388 -2.401 6.710

---

# 17
! MgCoO2, relaxed, DFT PBEsol; values from VASP
! Uncorrected formation energy   -4.41 eV/f.u.
! Spin magnetization   0.0 μB/f.u.
&SYSTEM
  ibrav = 0, nat = 4, ntyp = 3
/
ATOMIC_SPECIES
Mg 24.30 Mg.upf
Co 58.93 Co.upf
O 16.00 O.upf
ATOMIC_POSITIONS crystal
Mg 0.000 0.000 0.000
Co 0.500 0.500 0.500
O 0.886 0.886 0.341
O 0.114 0.114 0.659
CELL_PARAMETERS angstrom
-0.650 -0.430 2.832
-2.139 -1.869 0.748
2.927 -5.089 1.422

---

# 18
! Mg3Co2O7, relaxed, DFT PBEsol; values from VASP
! Uncorrected formation energy   -21.40 eV/f.u.
! Spin magnetization   2.0 μB/f.u.
&SYSTEM
  ibrav = 0, nat = 24, ntyp = 3
/
ATOMIC_SPECIES
Mg 24.30 Mg.upf
Co 58.93 Co.upf
O 16.00 O.upf
ATOMIC_POSITIONS crystal
Mg 0.226 0.673 0.000
Mg 0.774 0.173 0.000
Mg 0.054 0.829 0.615
Mg 0.945 0.328 0.385
Mg 0.440 0.828 0.385
Mg 0.560 0.329 0.615
Co 0.150 0.250 0.799
Co 0.351 0.249 0.201
Co 0.850 0.749 0.201
Co 0.649 0.750 0.799
O 0.616 0.794 0.000
O 0.384 0.294 0.000
O 0.659 0.709 0.595
O 0.341 0.209 0.404
O 0.936 0.209 0.595
O 0.064 0.709 0.404
O 0.427 0.048 0.738
O 0.573 0.548 0.263
O 0.310 0.548 0.738
O 0.689 0.048 0.263
O 0.988 0.941 0.850
O 0.012 0.441 0.149
O 0.137 0.941 0.149
O 0.863 0.441 0.850
CELL_PARAMETERS angstrom
-3.816 -2.252 -2.069
-0.925 -2.471 4.394
-3.293 7.600 3.583

---

# 19
! MgCo2O, relaxed, DFT PBEsol; values from VASP
! Uncorrected formation energy   -0.60 eV/f.u.
! Spin magnetization   1.4 μB/f.u.
&SYSTEM
  ibrav = 0, nat = 8, ntyp = 3
/
ATOMIC_SPECIES
Mg 24.30 Mg.upf
Co 58.93 Co.upf
O 16.00 O.upf
ATOMIC_POSITIONS crystal
Mg 0.000 0.000 0.000
Mg 0.250 0.750 0.500
Co 0.625 0.375 0.750
Co 0.125 0.375 0.750
Co 0.625 0.875 0.250
Co 0.625 0.375 0.250
O 0.500 0.500 0.000
O 0.750 0.250 0.500
CELL_PARAMETERS angstrom
4.481 0.000 0.000
0.000 4.481 0.000
-2.241 -2.241 5.657

---

# 20
! Mg2Co3O8, relaxed, DFT PBEsol; values from VASP
! Uncorrected formation energy   -19.58 eV/f.u.
! Spin magnetization   3.0 μB/f.u.
&SYSTEM
  ibrav = 0, nat = 13, ntyp = 3
/
ATOMIC_SPECIES
Mg 24.30 Mg.upf
Co 58.93 Co.upf
O 16.00 O.upf
ATOMIC_POSITIONS crystal
Mg 0.655 0.725 0.451
Mg 0.345 0.275 0.549
Co 0.500 0.000 0.000
Co 0.000 0.259 0.000
Co 0.000 0.741 0.000
O 0.069 0.396 0.791
O 0.931 0.604 0.209
O 0.089 0.897 0.793
O 0.911 0.103 0.207
O 0.399 0.885 0.222
O 0.399 0.337 0.222
O 0.601 0.663 0.778
O 0.601 0.115 0.778
CELL_PARAMETERS angstrom
4.740 0.000 0.020
0.000 5.606 0.000
-1.690 -2.803 4.695